# 1
KBPt3 | PBE-GGA | optimized geometry

a = 8.706 Å, b = 8.706 Å, c = 8.706 Å
α = 34.75°, β = 34.75°, γ = 34.75°
Sites, in units of the cell vectors:
K 0.164 0.164 0.164
K 0.836 0.836 0.836
B 0.394 0.394 0.394
B 0.606 0.606 0.606
Pt 0.005 0.614 0.238
Pt 0.238 0.005 0.614
Pt 0.386 0.762 0.995
Pt 0.614 0.238 0.005
Pt 0.762 0.995 0.386
Pt 0.995 0.386 0.762

Summary:
Electronic total energy = -5.202 eV/atom
Symmetry = R-3, No. 148



# 2
CoAg4Te | PBE-GGA | optimized geometry

a = 5.516 Å, b = 5.516 Å, c = 5.516 Å
α = 60.00°, β = 60.00°, γ = 60.00°
Sites, in units of the cell vectors:
Co 0.000 0.000 0.000
Ag 0.374 0.374 0.374
Ag 0.374 0.374 0.877
Ag 0.374 0.877 0.374
Ag 0.877 0.374 0.374
Te 0.750 0.750 0.750

Summary:
ΔE_f (raw) = 0.481 eV/atom
Symmetry = F-43m, No. 216



# 3
CaZnFeP | PBE-GGA | optimized geometry

a = 3.739 Å, b = 3.739 Å, c = 10.696 Å
α = 90.00°, β = 90.00°, γ = 90.00°
Sites, in units of the cell vectors:
Ca 0.250 0.250 0.237
Ca 0.750 0.750 0.763
Zn 0.250 0.750 0.500
Zn 0.750 0.250 0.500
Fe 0.250 0.750 0.000
Fe 0.750 0.250 0.000
P 0.250 0.250 0.891
P 0.750 0.750 0.109

Summary:
Electronic total energy = -4.872 eV/atom
Symmetry = P4/nmm, No. 129



# 4
ZrAs2Br | PBE-GGA | optimized geometry

a = 11.034 Å, b = 11.034 Å, c = 11.034 Å
α = 158.55°, β = 158.55°, γ = 30.51°
Sites, in units of the cell vectors:
Zr 0.000 0.000 0.000
Zr 0.750 0.250 0.500
As 0.052 0.625 0.927
As 0.375 0.302 0.427
As 0.698 0.125 0.073
As 0.875 0.948 0.573
Br 0.250 0.750 0.500
Br 0.500 0.500 0.000

Summary:
ΔE_f (raw) = -0.197 eV/atom
Energy relative to the lowest polymorph listed for this composition = 1.70 eV per formula unit
Symmetry = I-42d, No. 122



# 5
AlCoOs | PBE-GGA | optimized geometry

a = 2.695 Å, b = 2.695 Å, c = 10.912 Å
α = 90.00°, β = 90.00°, γ = 90.00°
Sites, in units of the cell vectors:
Al 0.250 0.250 0.104
Al 0.750 0.750 0.896
Co 0.250 0.250 0.749
Co 0.750 0.750 0.251
Os 0.250 0.250 0.412
Os 0.750 0.750 0.588

Summary:
Energy relative to the lowest polymorph listed for this composition = 0.30 eV per formula unit
Symmetry = P4/nmm, No. 129



# 6
Pr4Dy2HoTm | PBE-GGA | optimized geometry

a = 5.154 Å, b = 5.181 Å, c = 10.024 Å
α = 90.00°, β = 90.00°, γ = 90.00°
Sites, in units of the cell vectors:
Pr 0.000 0.000 0.249
Pr 0.000 0.000 0.751
Pr 0.500 0.500 0.249
Pr 0.500 0.500 0.751
Dy 0.000 0.500 0.000
Dy 0.500 0.000 0.500
Ho 0.000 0.500 0.500
Tm 0.500 0.000 0.000

Summary:
Electronic total energy = -4.654 eV/atom
Symmetry = Pmmm, No. 47



Q: What is the formula in the first record?
A: KBPt3